(1)
First-principles (GGA-PBE) data for a geometry-optimized TlSb2N structure, as listed in Alexandria.

Energy above the lowest structure with this stoichiometry in meV per atom: 672
Space-group type: Fm-3m (225)
Uncorrected formation energy in eV/f.u.: 4.97

Lattice parameters (Å, degrees): 5.026 5.026 5.026 60.00 60.00 60.00
Fractional coordinates of all 4 atoms:
Tl 0.000 0.000 0.000
Sb 0.250 0.250 0.250
Sb 0.750 0.750 0.750
N 0.500 0.500 0.500

***

(2)
First-principles (GGA-PBE) data for a geometry-optimized Sm4SbTe2 structure, as listed in Alexandria.

Space-group type: Cmcm (63)
Uncorrected formation energy in eV/f.u.: -7.46

Lattice parameters (Å, degrees): 7.456 7.456 14.690 90.00 90.00 146.50
Fractional coordinates of all 14 atoms:
Sm 0.000 0.000 0.000
Sm 0.000 0.000 0.500
Sm 0.284 0.716 0.630
Sm 0.284 0.716 0.870
Sm 0.441 0.559 0.250
Sm 0.559 0.441 0.750
Sm 0.716 0.284 0.130
Sm 0.716 0.284 0.370
Sb 0.098 0.902 0.250
Sb 0.902 0.098 0.750
Te 0.358 0.642 0.062
Te 0.358 0.642 0.438
Te 0.642 0.358 0.562
Te 0.642 0.358 0.938

***

(3)
First-principles (GGA-PBE) data for a geometry-optimized EuGdHoMg structure, as listed in Alexandria.

E_form in eV per atom: 0.075
Space-group type: F-43m (216)

Lattice parameters (Å, degrees): 5.591 5.591 5.591 60.00 60.00 60.00
Fractional coordinates of all 4 atoms:
Eu 0.000 0.000 0.000
Gd 0.250 0.250 0.250
Ho 0.750 0.750 0.750
Mg 0.500 0.500 0.500

***

(4)
First-principles (GGA-PBE) data for a geometry-optimized Nb2Os4Ru3 structure, as listed in Alexandria.

E_form in eV per atom: 0.075
Space-group type: P-1 (2)

Lattice parameters (Å, degrees): 2.764 10.538 10.810 63.27 83.64 86.11
Fractional coordinates of all 18 atoms:
Nb 0.067 0.153 0.493
Nb 0.349 0.901 0.188
Nb 0.651 0.099 0.812
Nb 0.933 0.847 0.507
Os 0.028 0.676 0.816
Os 0.136 0.332 0.788
Os 0.378 0.426 0.331
Os 0.460 0.590 0.052
Os 0.540 0.410 0.948
Os 0.622 0.574 0.669
Os 0.864 0.668 0.212
Os 0.972 0.324 0.184
Ru 0.057 0.160 0.051
Ru 0.249 0.621 0.441
Ru 0.486 0.923 0.706
Ru 0.514 0.077 0.294
Ru 0.751 0.379 0.559
Ru 0.943 0.840 0.949

***

(5)
First-principles (GGA-PBE) data for a geometry-optimized Tb2Dy2Y4Sc structure, as listed in Alexandria.

E_form in eV per atom: 0.018
Space-group type: C2/m (12)

Lattice parameters (Å, degrees): 9.421 9.421 9.448 115.19 115.19 21.83
Fractional coordinates of all 9 atoms:
Tb 0.148 0.148 0.167
Tb 0.852 0.852 0.833
Dy 0.336 0.336 0.501
Dy 0.664 0.664 0.499
Y 0.184 0.184 0.831
Y 0.482 0.482 0.171
Y 0.518 0.518 0.829
Y 0.816 0.816 0.169
Sc 0.000 0.000 0.500

***

(6)
First-principles (GGA-PBE) data for a geometry-optimized CrTe2PSe structure, as listed in Alexandria.

Space-group type: P4/mmm (123)
Uncorrected formation energy in eV/f.u.: 6.22

Lattice parameters (Å, degrees): 5.548 5.548 4.432 90.00 90.00 90.00
Fractional coordinates of all 5 atoms:
Cr 0.000 0.000 0.000
Te 0.000 0.500 0.500
Te 0.500 0.000 0.500
P 0.500 0.500 0.000
Se 0.000 0.000 0.500

***

(7)
First-principles (GGA-PBE) data for a geometry-optimized NdDyCoRh structure, as listed in Alexandria.

E_form in eV per atom: -0.379
Space-group type: F-43m (216)

Lattice parameters (Å, degrees): 4.882 4.882 4.882 60.00 60.00 60.00
Fractional coordinates of all 4 atoms:
Nd 0.000 0.000 0.000
Dy 0.500 0.500 0.500
Co 0.750 0.750 0.750
Rh 0.250 0.250 0.250

***

(8)
First-principles (GGA-PBE) data for a geometry-optimized CoRe2Br structure, as listed in Alexandria.

Energy above the lowest structure with this stoichiometry in meV per atom: 577
Space-group type: P2/m (10)
Uncorrected formation energy in eV/f.u.: 4.47

Lattice parameters (Å, degrees): 4.660 2.847 4.705 90.00 106.01 90.00
Fractional coordinates of all 4 atoms:
Co 0.000 0.000 0.000
Re 0.500 0.000 0.500
Re 0.500 0.500 0.000
Br 0.000 0.500 0.500

***

(9)
First-principles (GGA-PBE) data for a geometry-optimized YZn2Hg structure, as listed in Alexandria.

E_form in eV per atom: -0.191
Space-group type: P4mm (99)

Lattice parameters (Å, degrees): 3.425 3.425 7.046 90.00 90.00 90.00
Fractional coordinates of all 4 atoms:
Y 0.000 0.000 0.000
Zn 0.000 0.000 0.457
Zn 0.500 0.500 0.275
Hg 0.500 0.500 0.704

***

(10)
First-principles (GGA-PBE) data for a geometry-optimized MnTe2Au structure, as listed in Alexandria.

Energy above the lowest structure with this stoichiometry in meV per atom: 43
Space-group type: Cm (8)
Uncorrected formation energy in eV/f.u.: -0.19

Lattice parameters (Å, degrees): 4.845 4.845 6.774 96.43 96.43 47.12
Fractional coordinates of all 4 atoms:
Mn 0.000 0.000 0.000
Te 0.382 0.382 0.710
Te 0.605 0.605 0.255
Au 0.701 0.701 0.881

***

(11)
First-principles (GGA-PBE) data for a geometry-optimized Ag3F2 structure, as listed in Alexandria.

Energy above the lowest structure with this stoichiometry in meV per atom: 0
Space-group type: C2/m (12)
Uncorrected formation energy in eV/f.u.: -3.88

Lattice parameters (Å, degrees): 8.799 8.799 3.024 96.89 96.89 19.60
Fractional coordinates of all 5 atoms:
Ag 0.000 0.000 0.000
Ag 0.193 0.193 0.717
Ag 0.807 0.807 0.283
F 0.412 0.412 0.468
F 0.588 0.588 0.532

***

(12)
First-principles (GGA-PBE) data for a geometry-optimized AlTl2Ni structure, as listed in Alexandria.

Energy above the lowest structure with this stoichiometry in meV per atom: 144
E_form in eV per atom: 0.172
Space-group type: Imm2 (44)

Lattice parameters (Å, degrees): 6.902 6.902 6.902 154.28 142.21 46.28
Fractional coordinates of all 4 atoms:
Al 0.000 0.000 0.000
Tl 0.373 0.373 0.000
Tl 0.673 0.173 0.500
Ni 0.149 0.649 0.500

***

Computed values of total magnetization (unit: Bohr magnetons per cell) for the preceding records, in sequence: 1.194, 0.001, 14.404, 0.000, 0.001, 0.485, 0.624, 1.073, 0.214, 4.034, 0.000, 0.000.